Entry 1:
# RbNaAlOs2 | the Alexandria database | PBE | optimized geometry
# raw total energy	-15.93	eV per cell
# ρ	7.1	g/cm3
# energy relative to the elements	2.5108	eV per atom
data_RbNaAlOs2
_cell_length_a 4.9252
_cell_length_b 4.9252
_cell_length_c 5.0088
_cell_angle_alpha 90.00
_cell_angle_beta 90.00
_cell_angle_gamma 90.00
_space_group_name_H-M_alt 'P 4/m m m'
_space_group_IT_number 123
_space_group_name_Hall '-P 4 2'
loop_
_atom_site_label
_atom_site_type_symbol
_atom_site_fract_x
_atom_site_fract_y
_atom_site_fract_z
Rb1 Rb 0.0000 0.0000 0.0000
Na1 Na 0.0000 0.0000 0.5000
Al1 Al 0.5000 0.5000 0.0000
Os1 Os 0.0000 0.5000 0.5000

Entry 2:
# HfOs2I2 | the Alexandria database | PBE | optimized geometry
# raw total energy	-58.16	eV per cell
# ρ	13.7	g/cm3
# formation energy without anion corrections	1.29	eV/atom
data_HfOs2I2
_cell_length_a 7.8422
_cell_length_b 7.8422
_cell_length_c 3.2099
_cell_angle_alpha 90.00
_cell_angle_beta 90.00
_cell_angle_gamma 90.00
_space_group_name_H-M_alt 'P 4/m b m'
_space_group_IT_number 127
_space_group_name_Hall '-P 4 2ab'
loop_
_atom_site_label
_atom_site_type_symbol
_atom_site_fract_x
_atom_site_fract_y
_atom_site_fract_z
Hf1 Hf 0.0000 0.0000 0.0000
Os1 Os 0.1516 0.3484 0.5000
I1 I 0.1561 0.6561 0.0000

Entry 3:
# CaAlSn2Bi | the Alexandria database | PBE | optimized geometry
# raw total energy	-14.69	eV per cell
# ρ	4.2	g/cm3
# energy relative to the elements	0.5872	eV per atom
data_CaAlSn2Bi
_cell_length_a 5.8683
_cell_length_b 5.8683
_cell_length_c 5.8671
_cell_angle_alpha 90.00
_cell_angle_beta 90.00
_cell_angle_gamma 90.00
_space_group_name_H-M_alt 'P 4/m m m'
_space_group_IT_number 123
_space_group_name_Hall '-P 4 2'
loop_
_atom_site_label
_atom_site_type_symbol
_atom_site_fract_x
_atom_site_fract_y
_atom_site_fract_z
Ca1 Ca 0.0000 0.0000 0.0000
Al1 Al 0.5000 0.5000 0.0000
Sn1 Sn 0.0000 0.5000 0.5000
Bi1 Bi 0.0000 0.0000 0.5000

Entry 4:
# Li3ZnHg2 | the Alexandria database | PBE | optimized geometry
# raw total energy	-9.39	eV per cell
# ρ	7.8	g/cm3
# energy relative to the elements	-0.2948	eV per atom
data_Li3ZnHg2
_cell_length_a 3.3477
_cell_length_b 3.3477
_cell_length_c 9.2811
_cell_angle_alpha 90.00
_cell_angle_beta 90.00
_cell_angle_gamma 90.00
_space_group_name_H-M_alt 'P 4/m m m'
_space_group_IT_number 123
_space_group_name_Hall '-P 4 2'
loop_
_atom_site_label
_atom_site_type_symbol
_atom_site_fract_x
_atom_site_fract_y
_atom_site_fract_z
Li1 Li 0.0000 0.0000 0.0000
Li2 Li 0.0000 0.0000 0.3439
Zn1 Zn 0.5000 0.5000 0.5000
Hg1 Hg 0.5000 0.5000 0.1760

Entry 5:
# Cu12Sb4S13 | the Alexandria database | PBE | optimized geometry
# raw total energy	-251.88	eV per cell
# ρ	5.0	g/cm3
# formation energy without anion corrections	-0.23	eV/atom
data_Cu12Sb4S13
_cell_length_a 10.3774
_cell_length_b 10.3774
_cell_length_c 10.3774
_cell_angle_alpha 90.00
_cell_angle_beta 90.00
_cell_angle_gamma 90.00
_space_group_name_H-M_alt 'I -4 3 m'
_space_group_IT_number 217
_space_group_name_Hall 'I -4 2 3'
loop_
_atom_site_label
_atom_site_type_symbol
_atom_site_fract_x
_atom_site_fract_y
_atom_site_fract_z
Cu1 Cu 0.0000 0.0000 0.2221
Cu2 Cu 0.0000 0.2500 0.5000
Sb1 Sb 0.2281 0.2281 0.2281
S1 S 0.0000 0.0000 0.0000
S2 S 0.1161 0.1161 0.6347

Entry 6:
# HfCoSi2 | the Alexandria database | PBE | optimized geometry
# raw total energy	-122.29	eV per cell
# ρ	8.5	g/cm3
# formation energy without anion corrections	-0.67	eV/atom
data_HfCoSi2
_cell_length_a 6.1265
_cell_length_b 3.9613
_cell_length_c 9.4362
_cell_angle_alpha 90.00
_cell_angle_beta 90.00
_cell_angle_gamma 90.00
_space_group_name_H-M_alt 'P n m a'
_space_group_IT_number 62
loop_
_space_group_symop_operation_xyz
'x,y,z'
'-x,-y,-z'
'-x+1/2,-y,z+1/2'
'x+1/2,y,-z+1/2'
'x+1/2,-y+1/2,-z+1/2'
'-x+1/2,y+1/2,z+1/2'
'-x,y+1/2,-z'
'x,-y+1/2,z'
loop_
_atom_site_label
_atom_site_type_symbol
_atom_site_fract_x
_atom_site_fract_y
_atom_site_fract_z
Hf1 Hf 0.2088 0.2500 0.1802
Co1 Co 0.1056 0.2500 0.8855
Si1 Si 0.0286 0.7500 0.3464
Si2 Si 0.2281 0.7500 0.9718

Entry 7:
# LaSm4Y4 | the Alexandria database | PBE | optimized geometry
# raw total energy	-98.96	eV per cell
# ρ	6.0	g/cm3
# energy relative to the elements	0.0201	eV per atom
data_LaSm4Y4
_cell_length_a 10.8544
_cell_length_b 10.8544
_cell_length_c 5.1098
_cell_angle_alpha 90.00
_cell_angle_beta 90.00
_cell_angle_gamma 90.00
_space_group_name_H-M_alt 'I 4/m m m'
_space_group_IT_number 139
_space_group_name_Hall '-I 4 2'
loop_
_atom_site_label
_atom_site_type_symbol
_atom_site_fract_x
_atom_site_fract_y
_atom_site_fract_z
La1 La 0.0000 0.0000 0.0000
Sm1 Sm 0.0000 0.3340 0.0000
Y1 Y 0.1678 0.1678 0.5000

Entry 8:
# SrAcLaIn | the Alexandria database | PBE | optimized geometry
# raw total energy	-54.02	eV per cell
# ρ	6.4	g/cm3
# energy relative to the elements	-0.0124	eV per atom
data_SrAcLaIn
_cell_length_a 8.4041
_cell_length_b 8.4041
_cell_length_c 8.4041
_cell_angle_alpha 90.00
_cell_angle_beta 90.00
_cell_angle_gamma 90.00
_space_group_name_H-M_alt 'F -4 3 m'
_space_group_IT_number 216
_space_group_name_Hall 'F -4 2 3'
loop_
_atom_site_label
_atom_site_type_symbol
_atom_site_fract_x
_atom_site_fract_y
_atom_site_fract_z
Sr1 Sr 0.0000 0.0000 0.0000
Ac1 Ac 0.2500 0.2500 0.2500
La1 La 0.0000 0.0000 0.5000
In1 In 0.2500 0.2500 0.7500

Question: Look up the ρ of the fourth one.
Answer: 7.8 g/cm3

Question: raw total energy of number 6 (HfCoSi2)?
Answer: -122.29 eV per cell